Material: PuZn2CoO6
Method: DFT, PBE with a Hubbard U
State: relaxed

The space group is C2/c (No. 15) and the conventional cell measures 10.206, 9.126 and 5.325 Å, with angles of 90.00, 101.08 and 90.00 degrees. Symmetry generates all atoms from Pu at (0.000, 0.239, 0.250), Zn at (0.195, 0.096, 0.822), Co at (0.000, 0.417, 0.750), O at (0.103, 0.426, 0.105), O at (0.107, 0.265, 0.628) and O at (0.133, 0.087, 0.146).

The calculation puts the magnetization at 12.000 Bohr magnetons per cell. The value obtained for the volume is 486.7 Å³ per cell. The value obtained for the energy is -68.70 eV per formula unit.